This record from the Alexandria database describes a relaxed Li2MnRu crystal. The functional is PBE-GGA.

abc: 2.6665 2.6665 27.4489
angles: 90.00 90.00 120.00
Space group R3m (No. 160, hexagonal axes)
Inequivalent atoms, fractional coordinates:
Li1 0.0000 0.0000 0.0000 [3 per cell]
Li2 0.0000 0.0000 0.2376 [3 per cell]
Mn1 0.0000 0.0000 0.4884 [3 per cell]
Ru1 0.0000 0.0000 0.7506 [3 per cell]

Computed properties:
As for the formation energy: 0.20 eV/atom. Its energy relative to the lowest polymorph listed for this composition is 0.0202 eV/atom.